1.
The following is a GGA-PBE calculation of a relaxed Ba2NbSeCl crystal, from the Alexandria database.

Results
SG = P4/mmm
Raw total energy = -21.263 eV per formula unit

```
Ba2NbSeCl
1.0
6.0909 0.0000 0.0000
0.0000 6.0909 0.0000
0.0000 0.0000 4.6068
Ba Nb Se Cl
2 1 1 1
direct
0.0000 0.5000 0.0000
0.5000 0.0000 0.0000
0.0000 0.0000 0.5000
0.5000 0.5000 0.5000
0.0000 0.0000 0.0000
```

2.
The following is a GGA-PBE calculation of a relaxed EuGd2Ga crystal, from the Alexandria database.

Results
SG = Fm-3m
ΔH_f (0 K) = -0.09 eV per atom
Raw total energy = -41.811 eV per formula unit
Polymorph energy (0 for the lowest one) = 0.45 eV per formula unit

```
EuGd2Ga
1.0
0.0000 3.8171 3.8171
3.8171 0.0000 3.8171
3.8171 3.8171 0.0000
Eu Gd Ga
1 2 1
direct
0.0000 0.0000 0.0000
0.2500 0.2500 0.2500
0.7500 0.7500 0.7500
0.5000 0.5000 0.5000
```

3.
The following is a GGA-PBE calculation of a relaxed Sm2HoSc3Bi6 crystal, from the Alexandria database.

Results
SG = C2/m
ΔH_f (0 K) = -0.77 eV per atom
Raw total energy = -65.543 eV per formula unit

```
Sm2HoSc3Bi6
1.0
3.8123 -6.6074 0.0000
3.8123 6.6074 0.0000
-2.5438 0.0000 7.1658
Sm Ho Sc Bi
2 1 3 6
direct
0.1659 0.8341 0.0000
0.8341 0.1659 0.0000
0.5000 0.5000 0.0000
0.0000 0.0000 0.5000
0.3311 0.6689 0.5000
0.6689 0.3311 0.5000
0.0818 0.4112 0.7328
0.2609 0.2609 0.2693
0.4112 0.0818 0.7328
0.5888 0.9182 0.2672
0.7391 0.7391 0.7307
0.9182 0.5888 0.2672
```